## MnHg2Sb (PBE)

Data for MnHg2Sb after structural relaxation.

Properties
N(E_F) = 0.7098 states/eV per atom
E_tot = -12.59 eV for the cell shown

```
MnHg2Sb
1.0
-2.216 2.216 4.572
2.216 -2.216 4.572
2.216 2.216 -4.572
Mn Hg Sb
1 2 1
direct
0.000 0.000 0.000
0.500 0.500 0.000
0.750 0.250 0.500
0.250 0.750 0.500
```

***

## HgSb2TeF (PBE)

Data for HgSb2TeF after structural relaxation.

Properties
ΔE to the lowest computed polymorph = 0 meV/atom
N(E_F) = 0.7904 states/eV per atom
E_tot = -13.62 eV for the cell shown

```
HgSb2TeF
1.0
4.803 0.000 0.000
0.000 4.803 0.000
0.000 0.000 5.620
Hg Sb Te F
1 2 1 1
direct
0.000 0.000 0.000
0.000 0.500 0.500
0.500 0.000 0.500
0.500 0.500 0.000
0.500 0.500 0.500
```